Entry 1:
{
  "formula": "Zn2CrIn",
  "functional": "GGA-PBE",
  "state": "optimized geometry",
  "lattice_angstrom": [[-2.026, 2.811, -6.295], [-2.903, -6.299, -1.878], [-4.810, -0.988, -2.994]],
  "species": ["Cr", "Cr", "Zn", "Zn", "Zn", "Zn", "In", "In"],
  "frac_coords": [[0.500, 0.500, 0.000], [0.250, 0.750, 0.500], [0.603, 0.125, 0.250], [0.147, 0.625, 0.250], [0.375, 0.397, 0.750], [0.875, 0.853, 0.750], [0.000, 0.000, 0.000], [0.750, 0.250, 0.500]],
  "total_energy_ev_per_atom": -3.1168,
  "ef_mev_per_atom": 611
}

=====

Entry 2:
{
  "formula": "TlZnHgBi",
  "functional": "GGA-PBE",
  "state": "optimized geometry",
  "lattice_angstrom": [[5.330, 0.000, 0.000], [2.665, 4.616, 0.000], [2.665, 1.539, 4.352]],
  "species": ["Zn", "Tl", "Bi", "Hg"],
  "frac_coords": [[0.750, 0.750, 0.750], [0.000, 0.000, 0.000], [0.500, 0.500, 0.500], [0.250, 0.250, 0.250]],
  "total_energy_ev_per_atom": -1.8601,
  "ef_mev_per_atom": 96
}

=====

Entry 3:
{
  "formula": "CrBiRu2Br",
  "functional": "GGA-PBE",
  "state": "optimized geometry",
  "lattice_angstrom": [[5.060, 0.000, 0.000], [0.000, 5.761, 0.000], [0.000, 0.000, 5.060]],
  "species": ["Ru", "Ru", "Bi", "Br", "Cr"],
  "frac_coords": [[0.000, 0.000, 0.500], [0.500, 0.000, 0.000], [0.000, 0.000, 0.000], [0.000, 0.500, 0.000], [0.500, 0.500, 0.500]],
  "raw_formation_energy_ev_per_atom": 1.727,
  "total_energy_ev_per_atom": -5.0184
}

=====

Entry 4:
{
  "formula": "BiPd3Pb",
  "functional": "GGA-PBE",
  "state": "optimized geometry",
  "lattice_angstrom": [[-0.550, 2.385, -4.461], [3.794, -2.774, -1.951], [-3.347, -3.537, -1.478]],
  "species": ["Pb", "Bi", "Pd", "Pd", "Pd"],
  "frac_coords": [[0.500, 0.500, 0.500], [0.000, 0.000, 0.000], [0.000, 0.500, 0.000], [0.000, 0.000, 0.500], [0.500, 0.000, 0.000]],
  "de_polymorph_ev_per_atom": 0.5685,
  "total_energy_ev_per_atom": -4.3021,
  "ef_mev_per_atom": 331
}

=====

Entry 5:
{
  "formula": "BaSr2AlW",
  "functional": "GGA-PBE",
  "state": "optimized geometry",
  "lattice_angstrom": [[-4.467, 3.179, -2.101], [-3.343, -3.824, 1.322], [-0.730, 2.464, 5.280]],
  "species": ["Sr", "Sr", "Ba", "W", "Al"],
  "frac_coords": [[0.000, 0.000, 0.500], [0.500, 0.000, 0.000], [0.500, 0.500, 0.500], [0.000, 0.000, 0.000], [0.000, 0.500, 0.000]],
  "total_energy_ev_per_atom": -3.6790,
  "ef_mev_per_atom": 717
}

=====

Entry 6:
{
  "formula": "InTeSe2",
  "functional": "GGA-PBE",
  "state": "optimized geometry",
  "lattice_angstrom": [[7.652, 0.000, 0.000], [0.000, 7.652, 0.000], [3.826, 3.826, 3.847]],
  "species": ["Te", "Te", "Se", "Se", "Se", "Se", "In", "In"],
  "frac_coords": [[0.000, 0.000, 0.000], [0.750, 0.250, 0.500], [0.617, 0.125, 0.250], [0.133, 0.625, 0.250], [0.375, 0.383, 0.750], [0.875, 0.867, 0.750], [0.500, 0.500, 0.000], [0.250, 0.750, 0.500]],
  "raw_formation_energy_ev_per_atom": -0.027,
  "de_polymorph_ev_per_atom": 0.1911,
  "total_energy_ev_per_atom": -3.2393
}

=====

What did we get for M_tot? Answer: 0.00 0.00 1.93 0.00 0.00 0.00 μB per formula unit, in the order shown.